Below is a relaxed structure of Pm2Sm2Dy2Ho, with properties calculated at the PBE-GGA level.

Cell and atoms, written as POSCAR:
```
Pm2Sm2Dy2Ho
1.0
2.857 1.650 8.203
-2.857 1.650 8.203
0.000 -3.299 8.203
Pm Sm Dy Ho
2 2 2 1
Cartesian
0.000 0.000 3.427
0.000 0.000 21.183
0.000 0.000 6.999
0.000 0.000 17.611
0.000 0.000 10.535
0.000 0.000 14.075
0.000 0.000 0.000
```

## Properties
Space-group type   R-3m (166)
DFT formation energy   0.14 eV/atom
Spin magnetization   0.004 Bohr magnetons per cell



Below is a relaxed structure of Pm2Sm4Dy2Ho, with properties calculated at the PBE-GGA level.

Cell and atoms, written as POSCAR:
```
Pm2Sm4Dy2Ho
1.0
7.650 -2.549 0.000
7.650 2.549 0.000
-2.555 0.000 7.623
Pm Sm Dy Ho
2 4 2 1
Cartesian
1.275 0.000 1.285
11.471 0.000 6.338
1.268 0.000 6.337
6.372 0.000 1.287
6.373 0.000 6.337
11.477 0.000 1.286
3.826 0.000 3.811
8.919 0.000 3.812
-1.277 0.000 3.812
```

## Properties
Space-group type   C2/m (12)
DFT formation energy   0.02 eV/atom
Spin magnetization   0.000 Bohr magnetons per cell



Below is a relaxed structure of PmSm3Dy2Ho6, with properties calculated at the PBE-GGA level.

Cell and atoms, written as POSCAR:
```
PmSm3Dy2Ho6
1.0
3.088 -5.345 0.000
3.088 5.345 0.000
-2.048 0.000 11.597
Pm Sm Dy Ho
1 3 2 6
Cartesian
0.000 0.000 0.000
2.064 3.562 5.798
2.064 0.000 5.798
2.064 -3.562 5.798
3.088 1.783 0.000
3.088 -1.783 0.000
1.037 1.784 2.886
0.008 0.000 8.712
1.037 -1.784 2.886
3.092 1.784 8.711
4.121 0.000 2.885
3.092 -1.784 8.711
```

## Properties
Space-group type   C2/m (12)
DFT formation energy   0.02 eV/atom
Spin magnetization   0.000 Bohr magnetons per cell



Below is a relaxed structure of Pm3Sm6DyHo2, with properties calculated at the PBE-GGA level.

Cell and atoms, written as POSCAR:
```
Pm3Sm6DyHo2
1.0
3.128 -5.417 0.000
3.128 5.417 0.000
-2.083 0.000 11.768
Pm Sm Dy Ho
3 6 1 2
Cartesian
0.000 0.000 0.000
3.128 1.806 0.000
3.128 -1.806 0.000
1.041 1.806 2.983
0.003 0.000 8.785
1.041 -1.806 2.983
3.132 1.806 8.785
4.170 0.000 2.983
3.132 -1.806 8.785
2.086 0.000 5.884
2.086 3.611 5.884
2.086 -3.611 5.884
```

## Properties
Space-group type   C2/m (12)
DFT formation energy   0.02 eV/atom
Spin magnetization   0.000 Bohr magnetons per cell



Below is a relaxed structure of Pm2Sm6Dy3Ho, with properties calculated at the PBE-GGA level.

Cell and atoms, written as POSCAR:
```
Pm2Sm6Dy3Ho
1.0
3.121 -5.403 0.000
3.121 5.403 0.000
-2.077 0.000 11.743
Pm Sm Dy Ho
2 6 3 1
Cartesian
3.121 3.603 0.000
3.121 -3.603 0.000
0.005 1.797 8.786
1.046 0.000 2.961
0.005 -1.797 8.786
4.160 1.797 2.958
3.119 0.000 8.783
4.160 -1.797 2.958
-1.038 0.000 5.872
2.082 1.800 5.872
2.082 -1.800 5.872
3.121 0.000 0.000
```

## Properties
Space-group type   C2/m (12)
DFT formation energy   0.01 eV/atom
Spin magnetization   0.000 Bohr magnetons per cell



Below is a relaxed structure of Pm2SmDy5Ho, with properties calculated at the PBE-GGA level.

Cell and atoms, written as POSCAR:
```
Pm2SmDy5Ho
1.0
-4.345 4.345 7.770
4.345 -4.345 7.770
4.345 4.345 -7.770
Pm Sm Dy Ho
4 2 10 2
Cartesian
5.361 1.016 0.000
1.016 3.329 0.000
3.329 1.016 7.770
-1.016 3.329 7.770
0.000 0.000 3.885
0.000 0.000 11.654
0.000 0.000 0.000
2.517 1.828 -2.149
2.517 -1.828 5.621
2.517 1.828 2.149
2.517 -1.828 9.919
0.000 0.000 7.770
1.828 6.173 -2.149
1.828 2.517 5.621
1.828 6.173 2.149
1.828 2.517 9.919
4.345 0.000 3.885
0.000 4.345 3.885
```

## Properties
Space-group type   I4/mcm (140)
DFT formation energy   0.27 eV/atom
Spin magnetization   0.000 Bohr magnetons per cell



Below is a relaxed structure of Pm6SmDy2Ho, with properties calculated at the PBE-GGA level.

Cell and atoms, written as POSCAR:
```
Pm6SmDy2Ho
1.0
4.617 -7.638 0.000
4.617 7.638 0.000
-1.228 0.000 9.574
Pm Sm Dy Ho
12 2 4 2
Cartesian
2.432 4.222 1.781
3.364 4.885 5.313
4.028 4.885 9.048
3.235 1.663 3.651
6.187 4.222 3.005
5.384 1.663 1.136
2.621 -1.663 8.438
1.819 -4.222 6.568
4.771 -1.663 5.922
3.978 -4.885 0.526
4.642 -4.885 4.261
5.573 -4.222 7.792
4.310 7.229 2.393
3.696 -7.229 7.180
2.260 0.762 0.440
1.646 -0.762 5.227
6.360 0.762 4.347
5.746 -0.762 9.133
3.696 1.368 7.180
4.310 -1.368 2.393
```

## Properties
Space-group type   C2/c (15)
DFT formation energy   0.12 eV/atom
Spin magnetization   0.000 Bohr magnetons per cell



Below is a relaxed structure of Pm2SmDy3Ho6, with properties calculated at the PBE-GGA level.

Cell and atoms, written as POSCAR:
```
Pm2SmDy3Ho6
1.0
3.084 -5.337 0.000
3.084 5.337 0.000
-2.046 0.000 11.584
Pm Sm Dy Ho
2 1 3 6
Cartesian
3.084 3.558 0.000
3.084 -3.558 0.000
3.084 0.000 0.000
-1.023 0.000 5.792
2.061 1.779 5.792
2.061 -1.779 5.792
0.004 1.779 8.657
1.035 0.000 2.927
0.004 -1.779 8.657
4.118 1.779 2.927
3.086 0.000 8.656
4.118 -1.779 2.927
```

## Properties
Space-group type   C2/m (12)
DFT formation energy   0.02 eV/atom
Spin magnetization   0.000 Bohr magnetons per cell